A plane-wave DFT calculation with PBE was carried out for B2IrW after structural relaxation.

Output
Electronic total energy = -105.26 eV per cell
Relative energy among the computed polymorphs = 0 meV per atom
Energy relative to the elements = 0.08 eV/f.u.

```
data_B2IrW
_space_group_name_H-M_alt 'R -3 m'
_space_group_IT_number 166
_space_group_name_Hall '-R 3 2"'
_cell_length_a 3.3579
_cell_length_b 3.3579
_cell_length_c 13.5526
_cell_angle_alpha 90.00
_cell_angle_beta 90.00
_cell_angle_gamma 120.00
loop_
_atom_site_label
_atom_site_type_symbol
_atom_site_fract_x
_atom_site_fract_y
_atom_site_fract_z
B1 B 0.0000 0.0000 0.2429
Ir1 Ir 0.0000 0.0000 0.5000
W1 W 0.0000 0.0000 0.0000
```